Density functional theory data (GGA-PBE) for an optimized crystal structure of KCeAuBr6.

The total energy comes out at -62.892 eV for the cell shown. Its calculated volume is 679.34 Å³ per cell. Its crystal system is trigonal.

The structure belongs to space group P-31c (No. 163); the cell edges are 7.2071, 7.2071 and 15.1019 Å and the angles 90.00°, 90.00° and 120.00°. The asymmetric unit holds K at (0.0000, 0.0000, 0.0000), Ce at (0.3333, 0.6667, 0.2500), Au at (0.3333, 0.6667, 0.7500) and Br at (0.0052, 0.3623, 0.1397).

=====

Density functional theory data (GGA-PBE) for an optimized crystal structure of Ce8Os3AuBr4.

The total energy comes out at -311.122 eV for the cell shown. Its calculated volume is 1350.94 Å³ per cell. Its crystal system is trigonal.

The structure belongs to space group R-3m (No. 166, hexagonal axes); the cell edges are 8.2599, 8.2599 and 22.8643 Å and the angles 90.00°, 90.00° and 120.00°. The asymmetric unit holds Ce at (0.0000, 0.0000, 0.2328), Ce at (0.0199, 0.5099, 0.7667), Os at (0.0000, 0.5000, 0.5000), Au at (0.0000, 0.0000, 0.5000), Br at (0.0000, 0.0000, 0.0000) and Br at (0.0000, 0.5000, 0.0000).

=====

Density functional theory data (GGA-PBE) for an optimized crystal structure of Ce6Os2AuBr3.

The total energy comes out at -151.945 eV for the cell shown. Its calculated volume is 681.29 Å³ per cell. Its crystal system is monoclinic.

The structure belongs to space group C2/m (No. 12); the cell edges are 7.188, 12.442 and 7.986 Å and the angles 90.00°, 107.45° and 90.00°. The asymmetric unit holds Ce at (0.211, 0.000, 0.201), Ce at (0.246, 0.322, 0.203), Os at (0.000, 0.167, 0.000), Au at (0.000, 0.500, 0.000), Br at (0.000, 0.000, 0.500) and Br at (0.000, 0.336, 0.500).

=====

Density functional theory data (GGA-PBE) for an optimized crystal structure of AuBrCl2.

The total energy comes out at -15.397 eV for the cell shown. The energy above the most stable polymorph in this dataset comes out at 1.80 eV per formula unit. Its calculated volume is 219.10 Å³ per cell. Its crystal system is monoclinic.

The structure belongs to space group C2/m (No. 12); the cell edges are 7.567, 7.607 and 4.220 Å and the angles 90.00°, 115.58° and 90.00°. The asymmetric unit holds Au at (0.000, 0.000, 0.000), Br at (0.000, 0.500, 0.000) and Cl at (0.250, 0.250, 0.000).

=====

Density functional theory data (GGA-PBE) for an optimized crystal structure of AuBrCl2.

The total energy comes out at -23.672 eV for the cell shown. The energy above the most stable polymorph in this dataset comes out at 1.60 eV per formula unit. Its calculated volume is 288.66 Å³ per cell. Its crystal system is trigonal.

The structure belongs to space group R3m (No. 160, hexagonal axes); the cell edges are 3.9704, 3.9704 and 21.1439 Å and the angles 90.00°, 90.00° and 120.00°. The asymmetric unit holds Au at (0.0000, 0.0000, 0.0000), Br at (0.0000, 0.0000, 0.2626), Cl at (0.0000, 0.0000, 0.5007) and Cl at (0.0000, 0.0000, 0.7291).

=====

Density functional theory data (GGA-PBE) for an optimized crystal structure of Au3BrCl.

The total energy comes out at -9.857 eV for the cell shown. The energy above the most stable polymorph in this dataset comes out at 0.14 eV per formula unit. Its calculated volume is 138.05 Å³ per cell. Its crystal system is cubic.

The structure belongs to space group Pm-3m (No. 221); the cell edges are 5.168, 5.168 and 5.168 Å and the angles 90.00°, 90.00° and 90.00°. The asymmetric unit holds Au at (0.000, 0.000, 0.500), Br at (0.000, 0.000, 0.000) and Cl at (0.500, 0.500, 0.500).

=====

Density functional theory data (GGA-PBE) for an optimized crystal structure of AuBrCl.

The total energy comes out at -6.738 eV for the cell shown. The energy above the most stable polymorph in this dataset comes out at 0.54 eV per formula unit. Its calculated volume is 82.60 Å³ per cell. Its crystal system is trigonal.

The structure belongs to space group P3m1 (No. 156); the cell edges are 4.0091, 4.0091 and 5.9341 Å and the angles 90.00°, 90.00° and 120.00°. The asymmetric unit holds Au at (0.0000, 0.0000, 0.0000), Br at (0.6667, 0.3333, 0.2514) and Cl at (0.3333, 0.6667, 0.7777).

=====

Density functional theory data (GGA-PBE) for an optimized crystal structure of AuBrCl2.

The total energy comes out at -7.711 eV for the cell shown. The energy above the most stable polymorph in this dataset comes out at 1.78 eV per formula unit. Its calculated volume is 112.93 Å³ per cell. Its crystal system is orthorhombic.

The structure belongs to space group Pmmm (No. 47); the cell edges are 3.750, 3.857 and 7.807 Å and the angles 90.00°, 90.00° and 90.00°. The asymmetric unit holds Au at (0.000, 0.000, 0.000), Br at (0.500, 0.000, 0.500), Cl at (0.000, 0.500, 0.500) and Cl at (0.500, 0.500, 0.000).

=====

The highest calculated volume belongs to which entry? Ce8Os3AuBr4

=====

Number 8 is which compound? AuBrCl2

=====

Among the records above, which one has the lowest calculated volume? AuBrCl